In2SbIrRu | PBE | relaxed

a = 5.0335 Å, b = 5.0335 Å, c = 4.8912 Å
α = 90.00°, β = 90.00°, γ = 90.00°
Fractional positions:
In 0.0000 0.5000 0.0000
In 0.5000 0.0000 0.0000
Sb 0.0000 0.0000 0.5000
Ir 0.5000 0.5000 0.5000
Ru 0.0000 0.0000 0.0000

## Properties
E: -4.727 eV/atom
space-group type: P4/mmm (123)
E_form (uncorrected): 0.821 eV/atom
magnetization: 0.000 μB per atom